1.
This record from Alexandria via LeMat-Bulk describes crystalline CoHg2Rh at its relaxed geometry. The functional is PBE-GGA.

Structure (POSCAR):
```
CoHg2Rh
1.0
4.7342 0.0079 0.0043
3.7706 2.8628 0.0043
0.9838 0.3321 5.0684
Co Hg Rh
1 2 1
direct
0.7500 0.7500 0.7500
0.0028 0.0028 0.9952
0.4972 0.4972 0.5048
0.2500 0.2500 0.2500
```

Computed properties:
**Final energy**: -13.4 eV/cell
**Mass density**: 13.643 Mg/m³
**ΔH_f (0 K)**: 0.4116 eV/atom


2.
This record from Alexandria via LeMat-Bulk describes crystalline CoHg2Rh at its relaxed geometry. The functional is PBE-GGA.

Structure (POSCAR):
```
CoHg2Rh
1.0
8.9020 -0.0070 -0.0041
8.3981 2.9526 -0.0041
8.3981 1.4299 2.5832
Co Hg Rh
1 2 1
direct
0.7500 0.7500 0.7500
0.0024 0.0024 0.0024
0.4976 0.4976 0.4976
0.2500 0.2500 0.2500
```

Computed properties:
**Final energy**: -13.4 eV/cell
**Mass density**: 13.718 Mg/m³
**ΔH_f (0 K)**: 0.4107 eV/atom


3.
This record from Alexandria via LeMat-Bulk describes crystalline CoHgRh2 at its relaxed geometry. The functional is PBE-GGA.

Structure (POSCAR):
```
CoHgRh2
1.0
2.8654 0.0000 0.0000
0.0000 2.8426 0.3686
0.0000 1.8866 7.6927
Co Hg Rh
1 1 2
direct
0.5000 0.2500 0.2500
0.5000 0.7500 0.7500
0.0000 0.9652 0.0349
0.0000 0.5348 0.4651
```

Computed properties:
**Final energy**: -21.5 eV/cell
**Mass density**: 12.737 Mg/m³
**ΔH_f (0 K)**: 0.1561 eV/atom


4.
This record from Alexandria via LeMat-Bulk describes crystalline CoHgRh2 at its relaxed geometry. The functional is PBE-GGA.

Structure (POSCAR):
```
CoHgRh2
1.0
-0.3068 -4.4253 1.4746
2.2757 2.2647 3.3976
-2.5313 0.6059 1.2916
Co Hg Rh
1 1 2
direct
0.5000 0.0000 0.5000
0.0000 0.5000 0.5000
0.0000 0.0000 0.0000
0.5000 0.5000 0.0000
```

Computed properties:
**Final energy**: -20.8 eV/cell
**Mass density**: 12.608 Mg/m³
**ΔH_f (0 K)**: 0.3265 eV/atom


5.
This record from Alexandria via LeMat-Bulk describes crystalline CoHg2Rh at its relaxed geometry. The functional is PBE-GGA.

Structure (POSCAR):
```
CoHg2Rh
1.0
0.0000 3.2207 3.2207
3.2207 0.0000 3.2207
3.2207 3.2207 0.0000
Co Rh Hg
1 1 2
direct
0.0000 0.0000 0.0000
0.5000 0.5000 0.5000
0.2500 0.2500 0.2500
0.7500 0.7500 0.7500
```

Computed properties:
**Final energy**: -13.6 eV/cell
**Mass density**: 13.993 Mg/m³
**ΔH_f (0 K)**: 0.3650 eV/atom


6.
This record from Alexandria via LeMat-Bulk describes crystalline CoHgRh2 at its relaxed geometry. The functional is PBE-GGA.

Structure (POSCAR):
```
CoHgRh2
1.0
-0.8675 2.7867 2.4816
-3.0640 -2.1670 1.3623
2.3947 -1.6762 2.7195
Co Hg Rh
1 1 2
direct
0.5000 0.5000 0.0000
0.5000 0.0000 0.5000
0.0000 0.0000 0.0000
0.0000 0.5000 0.5000
```

Computed properties:
**Final energy**: -20.9 eV/cell
**Mass density**: 12.654 Mg/m³
**ΔH_f (0 K)**: 0.3083 eV/atom


7.
This record from Alexandria via LeMat-Bulk describes crystalline CoHgRh2 at its relaxed geometry. The functional is PBE-GGA.

Structure (POSCAR):
```
CoHgRh2
1.0
-4.2078 0.6465 2.1780
-2.4141 -0.3163 4.1158
0.5061 4.4471 1.7411
Co Hg Rh
1 1 2
direct
0.7500 0.7500 0.7500
0.2500 0.2500 0.2500
0.0113 0.0113 0.9785
0.4887 0.4887 0.5215
```

Computed properties:
**Final energy**: -21.2 eV/cell
**Mass density**: 12.801 Mg/m³
**ΔH_f (0 K)**: 0.2395 eV/atom


8.
This record from Alexandria via LeMat-Bulk describes crystalline CoHgRh2 at its relaxed geometry. The functional is PBE-GGA.

Structure (POSCAR):
```
CoHgRh2
1.0
4.8400 0.0468 0.0000
1.6497 4.5504 0.0000
-3.2449 -2.2986 2.7596
Co Hg Rh
1 1 2
direct
0.5000 0.5000 0.0000
0.7500 0.2500 0.5000
0.0000 0.0000 0.0000
0.2500 0.7500 0.5000
```

Computed properties:
**Final energy**: -21.0 eV/cell
**Mass density**: 12.759 Mg/m³
**ΔH_f (0 K)**: 0.2833 eV/atom


One value per record, in order, for M_tot: 1.98, 1.63, 3.38, 3.40, 1.18, 3.48, 2.69, 2.89 μB/cell.